[1]
Nd2Ga12Ru: optimized geometry, PBE.

abc: 6.102 6.102 15.771
angles: 90.00 90.00 90.00
Fractional positions:
Nd  0.500  0.000  0.240
Nd  0.000  0.500  0.240
Nd  0.000  0.500  0.760
Nd  0.500  0.000  0.760
Ga  0.500  0.500  0.809
Ga  0.000  0.000  0.809
Ga  0.750  0.750  0.914
Ga  0.250  0.750  0.914
Ga  0.000  0.000  0.347
Ga  0.250  0.750  0.086
Ga  0.833  0.333  0.568
Ga  0.500  0.500  0.347
Ga  0.250  0.250  0.914
Ga  0.750  0.750  0.086
Ga  0.333  0.167  0.568
Ga  0.667  0.167  0.432
Ga  0.000  0.000  0.653
Ga  0.167  0.333  0.432
Ga  0.250  0.250  0.086
Ga  0.833  0.667  0.432
Ga  0.667  0.833  0.568
Ga  0.000  0.000  0.191
Ga  0.167  0.667  0.568
Ga  0.500  0.500  0.653
Ga  0.750  0.250  0.914
Ga  0.500  0.500  0.191
Ga  0.333  0.833  0.432
Ga  0.750  0.250  0.086
Ru  0.500  0.000  0.000
Ru  0.000  0.500  0.000

VASP energy: -121.9 eV for the cell shown
Formation energy: -37.5 kJ per mole of atoms



[2]
Nd2Ga2Ru: optimized geometry, PBE.

abc: 4.547 5.721 9.791
angles: 83.43 76.57 66.58
Fractional positions:
Nd  0.674  0.324  0.328
Nd  0.915  0.281  0.889
Nd  0.326  0.676  0.672
Nd  0.085  0.719  0.111
Ga  0.085  0.264  0.567
Ga  0.619  0.884  0.877
Ga  0.915  0.736  0.433
Ga  0.381  0.116  0.123
Ru  0.652  0.073  0.624
Ru  0.348  0.927  0.376

VASP energy: -55.0 eV for the cell shown
Formation energy: -51.3 kJ per mole of atoms



[3]
Nd2GaRu: optimized geometry, PBE.

abc: 3.606 3.606 7.271
angles: 90.00 90.00 90.00
Fractional positions:
Ru  0.500  0.500  0.000
Nd  0.000  0.000  0.765
Nd  0.000  0.000  0.235
Ga  0.500  0.500  0.500

VASP energy: -23.1 eV for the cell shown
Formation energy: -31.1 kJ per mole of atoms



[4]
Nd7Ga2Ru2: optimized geometry, PBE.

abc: 6.916 7.116 6.916
angles: 90.00 109.91 90.00
Fractional positions:
Nd  0.000  0.262  0.500
Nd  0.500  0.738  0.000
Nd  0.000  0.738  0.500
Nd  0.500  0.262  0.000
Nd  0.000  0.000  0.000
Nd  0.500  0.742  0.500
Nd  0.500  0.258  0.500
Ga  0.839  0.500  0.839
Ga  0.161  0.500  0.161
Ru  0.698  0.000  0.302
Ru  0.302  0.000  0.698

VASP energy: -60.4 eV for the cell shown
Formation energy: -20.9 kJ per mole of atoms



[5]
Nd2Ga2Ru: optimized geometry, PBE.

abc: 4.500 7.828 7.390
angles: 90.00 107.73 90.00
Fractional positions:
Nd  0.966  0.718  0.933
Nd  0.759  0.373  0.518
Nd  0.241  0.873  0.482
Nd  0.034  0.218  0.067
Ga  0.424  0.424  0.848
Ga  0.845  0.033  0.690
Ga  0.155  0.533  0.310
Ga  0.576  0.924  0.152
Ru  0.415  0.087  0.829
Ru  0.585  0.587  0.171

VASP energy: -53.6 eV for the cell shown
Formation energy: -37.0 kJ per mole of atoms



[6]
Nd2Ga4Ru3: optimized geometry, PBE.

abc: 5.982 7.519 8.032
angles: 90.00 111.86 90.00
Fractional positions:
Nd  0.121  0.591  0.241
Nd  0.879  0.409  0.759
Nd  0.379  0.091  0.759
Nd  0.621  0.909  0.241
Ga  0.696  0.750  0.892
Ga  0.804  0.250  0.108
Ga  0.304  0.250  0.108
Ga  0.196  0.750  0.892
Ga  0.179  0.985  0.358
Ga  0.821  0.015  0.642
Ga  0.321  0.485  0.642
Ga  0.679  0.515  0.358
Ru  0.000  0.000  0.000
Ru  0.500  0.500  0.000
Ru  0.523  0.750  0.545
Ru  0.977  0.250  0.455
Ru  0.477  0.250  0.455
Ru  0.023  0.750  0.545

VASP energy: -107.1 eV for the cell shown
Formation energy: -43.8 kJ per mole of atoms



[7]
Nd3Ga9Ru2: optimized geometry, PBE.

abc: 4.337 8.269 8.269
angles: 70.37 74.80 74.80
Fractional positions:
Nd  0.000  0.000  0.000
Nd  0.700  0.300  0.300
Nd  0.300  0.700  0.700
Ga  0.000  0.500  0.500
Ga  0.653  0.986  0.708
Ga  0.347  0.014  0.292
Ga  0.653  0.708  0.986
Ga  0.347  0.292  0.014
Ga  0.872  0.846  0.411
Ga  0.128  0.154  0.589
Ga  0.872  0.411  0.846
Ga  0.128  0.589  0.154
Ru  0.500  0.324  0.676
Ru  0.500  0.676  0.324

VASP energy: -68.0 eV for the cell shown
Formation energy: -54.5 kJ per mole of atoms



[8]
Nd5Ga2Ru: optimized geometry, PBE.

abc: 4.681 7.862 12.135
angles: 90.00 90.00 90.00
Fractional positions:
Nd  0.000  0.000  0.500
Nd  0.000  0.500  0.000
Nd  0.000  0.853  0.206
Nd  0.000  0.147  0.794
Nd  0.000  0.647  0.706
Nd  0.000  0.353  0.294
Nd  0.500  0.686  0.424
Nd  0.500  0.314  0.576
Nd  0.500  0.814  0.924
Nd  0.500  0.186  0.076
Ga  0.500  0.569  0.167
Ga  0.500  0.431  0.833
Ga  0.500  0.931  0.667
Ga  0.500  0.069  0.333
Ru  0.000  0.500  0.500
Ru  0.000  0.000  0.000

VASP energy: -84.6 eV for the cell shown
Formation energy: -37.6 kJ per mole of atoms



[9]
Nd2GaRu2: optimized geometry, PBE.

abc: 5.746 5.746 7.961
angles: 76.74 76.74 58.87
Fractional positions:
Nd  0.508  0.203  0.144
Nd  0.797  0.492  0.356
Nd  0.492  0.797  0.856
Nd  0.203  0.508  0.644
Ga  0.117  0.883  0.250
Ga  0.883  0.117  0.750
Ru  0.709  0.013  0.514
Ru  0.987  0.291  0.986
Ru  0.291  0.987  0.486
Ru  0.013  0.709  0.014

VASP energy: -66.0 eV for the cell shown
Formation energy: -36.6 kJ per mole of atoms



[10]
Nd3Ga7Ru2: optimized geometry, PBE.

abc: 4.724 4.703 11.820
angles: 101.47 90.00 90.00
Fractional positions:
Nd  0.500  0.500  0.000
Nd  0.500  0.685  0.370
Nd  0.500  0.315  0.630
Ga  0.000  0.403  0.806
Ga  0.000  0.783  0.567
Ga  0.000  0.000  0.000
Ga  0.000  0.597  0.194
Ga  0.500  0.095  0.189
Ga  0.500  0.905  0.811
Ga  0.000  0.217  0.433
Ru  0.000  0.896  0.792
Ru  0.000  0.104  0.208

VASP energy: -59.9 eV for the cell shown
Formation energy: -47.0 kJ per mole of atoms



[11]
NdGa3Ru3: optimized geometry, PBE.

abc: 6.706 6.706 6.706
angles: 90.00 90.00 90.00
Fractional positions:
Ru  0.000  0.250  0.500
Ru  0.000  0.750  0.500
Ru  0.500  0.000  0.750
Ru  0.750  0.500  0.000
Ru  0.500  0.000  0.250
Ru  0.250  0.500  0.000
Nd  0.500  0.500  0.500
Nd  0.000  0.000  0.000
Ga  0.250  0.000  0.500
Ga  0.000  0.500  0.250
Ga  0.500  0.750  0.000
Ga  0.750  0.000  0.500
Ga  0.000  0.500  0.750
Ga  0.500  0.250  0.000

VASP energy: -79.8 eV for the cell shown
Formation energy: 24.2 kJ per mole of atoms



[12]
Nd2Ga6Ru: optimized geometry, PBE.

abc: 6.294 6.294 6.294
angles: 60.00 60.00 60.00
Fractional positions:
Nd  0.250  0.250  0.250
Nd  0.750  0.750  0.750
Ga  0.283  0.717  0.717
Ga  0.283  0.717  0.283
Ga  0.717  0.283  0.717
Ga  0.717  0.283  0.283
Ga  0.717  0.717  0.283
Ga  0.283  0.283  0.717
Ru  0.000  0.000  0.000

VASP energy: -42.3 eV for the cell shown
Formation energy: -56.9 kJ per mole of atoms